1.
Density functional theory data (PBE) for a relaxed LiHPd crystal.

Cell lengths 4.638, 4.638, 5.359 Å; angles 90.14, 90.14, 34.86 degrees
Fractional positions:
Li  0.125  0.125  0.353
Li  0.875  0.875  0.647
H  0.417  0.417  0.327
H  0.583  0.583  0.673
Pd  0.147  0.147  0.851
Pd  0.853  0.853  0.149

Summary:
Its crystal system is monoclinic. Its space group is No. 12. The calculation puts the total magnetization at 0.00 μB per atom. The energy above the lowest structure with this stoichiometry is 0.25 eV/f.u.


2.
Density functional theory data (PBE) for a relaxed LiHPd3 crystal.

Cell lengths 3.966, 3.966, 3.966 Å; angles 90.00, 90.00, 90.00 degrees
Fractional positions:
Li  0.000  0.000  0.000
H  0.500  0.500  0.500
Pd  0.000  0.500  0.500
Pd  0.500  0.000  0.500
Pd  0.500  0.500  0.000

Summary:
Its crystal system is cubic. Its space group is No. 221. The calculation puts the total magnetization at 0.00 μB per atom. The energy above the lowest structure with this stoichiometry is 0.04 eV/f.u.


3.
Density functional theory data (PBE) for a relaxed Li2H3Pd3 crystal.

Cell lengths 4.966, 4.966, 10.098 Å; angles 94.84, 94.84, 43.92 degrees
Fractional positions:
Li  0.000  0.000  0.000
Li  0.049  0.049  0.681
Li  0.301  0.301  0.123
Li  0.654  0.654  0.408
H  0.461  0.461  0.282
H  0.529  0.529  0.967
H  0.566  0.566  0.581
H  0.765  0.765  0.091
H  0.865  0.865  0.498
H  0.884  0.884  0.818
Pd  0.383  0.383  0.502
Pd  0.402  0.402  0.818
Pd  0.596  0.596  0.162
Pd  0.708  0.708  0.918
Pd  0.740  0.740  0.656
Pd  0.931  0.931  0.303

Summary:
The total energy is -63.37 eV for the cell shown. Its crystal system is monoclinic. Its space group is No. 8. The calculation puts the total magnetization at 0.00 μB per atom.


4.
Density functional theory data (PBE) for a relaxed LiH3Pd4 crystal.

Cell lengths 7.375, 7.375, 4.334 Å; angles 106.29, 106.29, 21.83 degrees
Fractional positions:
Li  0.000  0.000  0.000
H  0.305  0.305  0.240
H  0.500  0.500  0.500
H  0.695  0.695  0.760
Pd  0.099  0.099  0.598
Pd  0.303  0.303  0.802
Pd  0.697  0.697  0.198
Pd  0.901  0.901  0.402

Summary:
The total energy is -34.13 eV for the cell shown. Its crystal system is monoclinic. Its space group is No. 12. The calculation puts the total magnetization at 0.00 μB per atom.


5.
Density functional theory data (PBE) for a relaxed LiH6Pd4 crystal.

Cell lengths 2.869, 13.752, 4.965 Å; angles 90.00, 105.40, 90.00 degrees
Fractional positions:
Li  0.181  0.250  0.333
Li  0.819  0.750  0.667
H  0.000  0.000  0.000
H  0.000  0.500  0.000
H  0.177  0.750  0.370
H  0.257  0.089  0.525
H  0.257  0.411  0.525
H  0.479  0.658  0.959
H  0.479  0.842  0.959
H  0.521  0.158  0.041
H  0.521  0.342  0.041
H  0.743  0.589  0.475
H  0.743  0.911  0.475
H  0.823  0.250  0.630
Pd  0.090  0.640  0.202
Pd  0.090  0.860  0.202
Pd  0.370  0.553  0.733
Pd  0.370  0.947  0.733
Pd  0.630  0.053  0.267
Pd  0.630  0.447  0.267
Pd  0.910  0.140  0.798
Pd  0.910  0.360  0.798

Summary:
Its crystal system is monoclinic. Its space group is No. 11. The calculation puts the total magnetization at 0.00 μB per atom. The energy above the lowest structure with this stoichiometry is 0.00 eV/f.u.


6.
Density functional theory data (PBE) for a relaxed Li2HPd8 crystal.

Cell lengths 6.373, 6.373, 4.524 Å; angles 106.02, 106.02, 90.51 degrees
Fractional positions:
Li  0.110  0.110  0.437
Li  0.890  0.890  0.563
H  0.000  0.000  0.000
Pd  0.171  0.652  0.181
Pd  0.211  0.211  0.029
Pd  0.348  0.829  0.819
Pd  0.409  0.409  0.681
Pd  0.591  0.591  0.319
Pd  0.652  0.171  0.181
Pd  0.789  0.789  0.971
Pd  0.829  0.348  0.819

Summary:
Its crystal system is monoclinic. Its space group is No. 12. The calculation puts the total magnetization at 0.00 μB per atom. The energy above the lowest structure with this stoichiometry is 2.89 eV/f.u.


7.
Density functional theory data (PBE) for a relaxed LiH2Pd4 crystal.

Cell lengths 5.506, 5.506, 5.506 Å; angles 134.54, 134.54, 66.24 degrees
Fractional positions:
Li  0.000  0.000  0.000
H  0.433  0.433  0.000
H  0.567  0.567  0.000
Pd  0.000  0.500  0.500
Pd  0.259  0.259  0.000
Pd  0.500  0.000  0.500
Pd  0.741  0.741  0.000

Summary:
Its crystal system is tetragonal. Its space group is No. 139. The calculation puts the total magnetization at 0.00 μB per atom. The energy above the lowest structure with this stoichiometry is 2.99 eV/f.u.


8.
Density functional theory data (PBE) for a relaxed LiHPd crystal.

Cell lengths 5.147, 5.147, 5.147 Å; angles 147.86, 118.17, 71.41 degrees
Fractional positions:
Li  0.246  0.000  0.246
Li  0.754  0.000  0.754
H  0.143  0.643  0.500
H  0.857  0.357  0.500
Pd  0.269  0.269  0.000
Pd  0.731  0.731  0.000

Summary:
Its crystal system is orthorhombic. Its space group is No. 71. The calculation puts the total magnetization at 0.00 μB per atom. The energy above the lowest structure with this stoichiometry is 0.38 eV/f.u.